Entry 1:
# PrDy2ScTl2, optimized geometry, DFT PBE
# Raw total energy ... -4.4281 eV/atom
# Density of states at the Fermi level ... 1.08 states/eV/atom
# Formation enthalpy at 0 K ... -0.253 eV per atom
data_PrDy2ScTl2
_chemical_formula_sum 'Pr2 Dy4 Sc2 Tl4'
_cell_length_a 5.019
_cell_length_b 6.935
_cell_length_c 9.893
_cell_angle_alpha 90.00
_cell_angle_beta 90.00
_cell_angle_gamma 90.00
_space_group_name_H-M_alt 'P 1'
_space_group_IT_number 1
loop_
_space_group_symop_operation_xyz
'x,y,z'
loop_
_atom_site_label
_atom_site_fract_x
_atom_site_fract_y
_atom_site_fract_z
Dy1 0.500 0.553 0.950
Dy2 0.000 0.846 0.816
Dy3 0.500 0.053 0.050
Dy4 0.000 0.346 0.184
Tl1 0.500 0.733 0.628
Tl2 0.000 0.793 0.135
Tl3 0.500 0.233 0.372
Tl4 0.000 0.293 0.865
Pr1 0.000 0.954 0.452
Pr2 0.000 0.454 0.548
Sc1 0.500 0.167 0.699
Sc2 0.500 0.667 0.301

---

Entry 2:
# Pr6DyTm2Sc, optimized geometry, DFT PBE
# Raw total energy ... -4.7282 eV/atom
# Density of states at the Fermi level ... 1.50 states/eV/atom
# Formation enthalpy at 0 K ... 0.127 eV per atom
data_Pr6DyTm2Sc
_chemical_formula_sum 'Pr12 Dy2 Tm4 Sc2'
_cell_length_a 9.450
_cell_length_b 8.975
_cell_length_c 8.975
_cell_angle_alpha 117.34
_cell_angle_beta 93.45
_cell_angle_gamma 93.45
_space_group_name_H-M_alt 'P 1'
_space_group_IT_number 1
loop_
_space_group_symop_operation_xyz
'x,y,z'
loop_
_atom_site_label
_atom_site_fract_x
_atom_site_fract_y
_atom_site_fract_z
Dy1 0.250 0.972 0.028
Dy2 0.750 0.028 0.972
Pr1 0.948 0.883 0.230
Pr2 0.305 0.012 0.443
Pr3 0.195 0.557 0.988
Pr4 0.552 0.770 0.117
Pr5 0.805 0.443 0.012
Pr6 0.888 0.293 0.516
Pr7 0.388 0.516 0.293
Pr8 0.052 0.117 0.770
Pr9 0.695 0.988 0.557
Pr10 0.448 0.230 0.883
Pr11 0.612 0.484 0.707
Pr12 0.112 0.707 0.484
Sc1 0.250 0.421 0.579
Sc2 0.750 0.579 0.421
Tm1 0.450 0.795 0.701
Tm2 0.550 0.205 0.299
Tm3 0.950 0.701 0.795
Tm4 0.050 0.299 0.205

---

Entry 3:
# PrDyTm3Sc, optimized geometry, DFT PBE
# Raw total energy ... -4.8113 eV/atom
# Density of states at the Fermi level ... 1.50 states/eV/atom
# Formation enthalpy at 0 K ... 0.043 eV per atom
data_PrDyTm3Sc
_chemical_formula_sum 'Pr2 Dy2 Tm6 Sc2'
_cell_length_a 4.949
_cell_length_b 7.811
_cell_length_c 9.919
_cell_angle_alpha 90.00
_cell_angle_beta 90.00
_cell_angle_gamma 108.47
_space_group_name_H-M_alt 'P 1'
_space_group_IT_number 1
loop_
_space_group_symop_operation_xyz
'x,y,z'
loop_
_atom_site_label
_atom_site_fract_x
_atom_site_fract_y
_atom_site_fract_z
Tm1 0.669 0.338 0.500
Tm2 0.830 0.659 0.250
Tm3 0.170 0.341 0.750
Tm4 0.669 0.338 0.000
Tm5 0.331 0.662 0.000
Tm6 0.331 0.662 0.500
Pr1 0.502 0.005 0.250
Pr2 0.498 0.995 0.750
Dy1 0.000 0.000 0.000
Dy2 0.000 0.000 0.500
Sc1 0.831 0.662 0.750
Sc2 0.169 0.338 0.250

---

Entry 4:
# Pr2Dy2TmSc, optimized geometry, DFT PBE
# Raw total energy ... -4.8268 eV/atom
# Density of states at the Fermi level ... 1.57 states/eV/atom
# Formation enthalpy at 0 K ... 0.101 eV per atom
data_Pr2Dy2TmSc
_chemical_formula_sum 'Pr4 Dy4 Tm2 Sc2'
_cell_length_a 5.608
_cell_length_b 6.895
_cell_length_c 9.724
_cell_angle_alpha 90.00
_cell_angle_beta 90.00
_cell_angle_gamma 90.00
_space_group_name_H-M_alt 'P 1'
_space_group_IT_number 1
loop_
_space_group_symop_operation_xyz
'x,y,z'
loop_
_atom_site_label
_atom_site_fract_x
_atom_site_fract_y
_atom_site_fract_z
Dy1 0.000 0.258 0.833
Dy2 0.000 0.758 0.167
Dy3 0.500 0.258 0.335
Dy4 0.500 0.758 0.665
Pr1 0.000 0.758 0.815
Pr2 0.000 0.258 0.185
Pr3 0.500 0.008 0.000
Pr4 0.500 0.508 0.000
Tm1 0.500 0.758 0.346
Tm2 0.500 0.258 0.654
Sc1 0.000 0.007 0.500
Sc2 0.000 0.507 0.500

---

Entry 5:
# Pr2Dy3Tm6Sc, optimized geometry, DFT PBE
# Raw total energy ... -4.6812 eV/atom
# Density of states at the Fermi level ... 1.30 states/eV/atom
# Formation enthalpy at 0 K ... 0.029 eV per atom
data_Pr2Dy3Tm6Sc
_chemical_formula_sum 'Pr2 Dy3 Tm6 Sc1'
_cell_length_a 6.091
_cell_length_b 6.091
_cell_length_c 11.666
_cell_angle_alpha 94.99
_cell_angle_beta 94.99
_cell_angle_gamma 119.99
_space_group_name_H-M_alt 'P 1'
_space_group_IT_number 1
loop_
_space_group_symop_operation_xyz
'x,y,z'
loop_
_atom_site_label
_atom_site_fract_x
_atom_site_fract_y
_atom_site_fract_z
Tm1 0.084 0.414 0.251
Tm2 0.753 0.753 0.252
Tm3 0.414 0.084 0.251
Tm4 0.586 0.916 0.749
Tm5 0.247 0.247 0.748
Tm6 0.916 0.586 0.749
Sc1 0.000 0.000 0.000
Dy1 0.500 0.500 0.500
Dy2 0.834 0.166 0.500
Dy3 0.166 0.834 0.500
Pr1 0.334 0.666 0.000
Pr2 0.666 0.334 0.000

---

Entry 6:
# Pr3Dy2Tm6Sc, optimized geometry, DFT PBE
# Raw total energy ... -4.6899 eV/atom
# Density of states at the Fermi level ... 1.39 states/eV/atom
# Formation enthalpy at 0 K ... 0.035 eV per atom
data_Pr3Dy2Tm6Sc
_chemical_formula_sum 'Pr3 Dy2 Tm6 Sc1'
_cell_length_a 6.135
_cell_length_b 6.135
_cell_length_c 11.665
_cell_angle_alpha 95.03
_cell_angle_beta 95.03
_cell_angle_gamma 119.98
_space_group_name_H-M_alt 'P 1'
_space_group_IT_number 1
loop_
_space_group_symop_operation_xyz
'x,y,z'
loop_
_atom_site_label
_atom_site_fract_x
_atom_site_fract_y
_atom_site_fract_z
Pr1 0.500 0.500 0.500
Pr2 0.833 0.167 0.500
Pr3 0.167 0.833 0.500
Tm1 0.589 0.920 0.757
Tm2 0.080 0.411 0.243
Tm3 0.250 0.250 0.757
Tm4 0.411 0.080 0.243
Tm5 0.750 0.750 0.243
Tm6 0.920 0.589 0.757
Dy1 0.666 0.334 0.000
Dy2 0.334 0.666 0.000
Sc1 0.000 0.000 0.000

---

Entry 7:
# Pr5Dy2TmSc, optimized geometry, DFT PBE
# Raw total energy ... -4.7563 eV/atom
# Density of states at the Fermi level ... 1.42 states/eV/atom
# Formation enthalpy at 0 K ... 0.122 eV per atom
data_Pr5Dy2TmSc
_chemical_formula_sum 'Pr10 Dy4 Tm2 Sc2'
_cell_length_a 5.404
_cell_length_b 11.297
_cell_length_c 10.302
_cell_angle_alpha 90.00
_cell_angle_beta 90.00
_cell_angle_gamma 103.84
_space_group_name_H-M_alt 'P 1'
_space_group_IT_number 1
loop_
_space_group_symop_operation_xyz
'x,y,z'
loop_
_atom_site_label
_atom_site_fract_x
_atom_site_fract_y
_atom_site_fract_z
Pr1 0.500 0.000 0.758
Pr2 0.721 0.443 0.196
Pr3 0.722 0.443 0.820
Pr4 0.000 0.000 0.008
Pr5 0.628 0.256 0.508
Pr6 0.278 0.557 0.320
Pr7 0.500 0.000 0.258
Pr8 0.372 0.744 0.008
Pr9 0.000 0.000 0.508
Pr10 0.279 0.557 0.696
Dy1 0.115 0.230 0.761
Dy2 0.115 0.230 0.255
Dy3 0.885 0.770 0.755
Dy4 0.885 0.770 0.261
Tm1 0.602 0.204 0.008
Tm2 0.398 0.796 0.508
Sc1 0.789 0.579 0.508
Sc2 0.211 0.421 0.008

---

Entry 8:
# Pr5DyTm2Sc, optimized geometry, DFT PBE
# Raw total energy ... -4.7374 eV/atom
# Density of states at the Fermi level ... 1.48 states/eV/atom
# Formation enthalpy at 0 K ... 0.126 eV per atom
data_Pr5DyTm2Sc
_chemical_formula_sum 'Pr10 Dy2 Tm4 Sc2'
_cell_length_a 5.387
_cell_length_b 11.256
_cell_length_c 10.327
_cell_angle_alpha 90.00
_cell_angle_beta 90.00
_cell_angle_gamma 103.84
_space_group_name_H-M_alt 'P 1'
_space_group_IT_number 1
loop_
_space_group_symop_operation_xyz
'x,y,z'
loop_
_atom_site_label
_atom_site_fract_x
_atom_site_fract_y
_atom_site_fract_z
Dy1 0.399 0.798 0.508
Dy2 0.601 0.202 0.008
Pr1 0.500 0.000 0.758
Pr2 0.500 0.000 0.258
Pr3 0.279 0.558 0.696
Pr4 0.001 0.002 0.508
Pr5 0.627 0.254 0.508
Pr6 0.279 0.558 0.321
Pr7 0.373 0.746 0.008
Pr8 0.999 0.998 0.008
Pr9 0.721 0.442 0.821
Pr10 0.721 0.442 0.196
Tm1 0.115 0.230 0.254
Tm2 0.115 0.230 0.762
Tm3 0.885 0.770 0.754
Tm4 0.885 0.770 0.262
Sc1 0.212 0.424 0.008
Sc2 0.788 0.576 0.508

---

Entry 9:
# PrDy2Tm4Sc, optimized geometry, DFT PBE
# Raw total energy ... -4.7403 eV/atom
# Density of states at the Fermi level ... 1.38 states/eV/atom
# Formation enthalpy at 0 K ... 0.035 eV per atom
data_PrDy2Tm4Sc
_chemical_formula_sum 'Pr2 Dy4 Tm8 Sc2'
_cell_length_a 12.123
_cell_length_b 6.991
_cell_length_c 12.105
_cell_angle_alpha 106.64
_cell_angle_beta 146.45
_cell_angle_gamma 90.04
_space_group_name_H-M_alt 'P 1'
_space_group_IT_number 1
loop_
_space_group_symop_operation_xyz
'x,y,z'
loop_
_atom_site_label
_atom_site_fract_x
_atom_site_fract_y
_atom_site_fract_z
Dy1 0.000 0.000 0.500
Dy2 0.500 0.000 0.500
Dy3 0.500 0.000 0.000
Dy4 0.500 0.500 0.000
Tm1 0.750 0.248 0.998
Tm2 0.251 0.249 0.496
Tm3 0.250 0.250 0.005
Tm4 0.748 0.250 0.500
Tm5 0.250 0.752 0.002
Tm6 0.749 0.751 0.504
Tm7 0.252 0.750 0.500
Tm8 0.750 0.750 0.995
Sc1 0.500 0.500 0.500
Sc2 0.000 0.000 0.000
Pr1 0.000 0.500 0.000
Pr2 0.000 0.500 0.500

---

Entry 10:
# PrDy4Tm2Sc, optimized geometry, DFT PBE
# Raw total energy ... -4.3683 eV/atom
# Density of states at the Fermi level ... 2.26 states/eV/atom
# Formation enthalpy at 0 K ... 0.439 eV per atom
data_PrDy4Tm2Sc
_chemical_formula_sum 'Pr2 Dy8 Tm4 Sc2'
_cell_length_a 9.364
_cell_length_b 9.364
_cell_length_c 11.586
_cell_angle_alpha 128.22
_cell_angle_beta 128.22
_cell_angle_gamma 88.64
_space_group_name_H-M_alt 'P 1'
_space_group_IT_number 1
loop_
_space_group_symop_operation_xyz
'x,y,z'
loop_
_atom_site_label
_atom_site_fract_x
_atom_site_fract_y
_atom_site_fract_z
Pr1 0.500 0.500 0.500
Pr2 0.000 0.000 0.000
Dy1 0.240 0.748 0.493
Dy2 0.243 0.256 0.502
Dy3 0.244 0.257 0.998
Dy4 0.248 0.740 0.993
Dy5 0.757 0.744 0.498
Dy6 0.760 0.252 0.507
Dy7 0.752 0.260 0.007
Dy8 0.756 0.743 0.002
Tm1 0.000 0.000 0.500
Tm2 0.500 0.000 0.000
Tm3 0.500 0.500 0.000
Tm4 0.500 0.000 0.500
Sc1 0.000 0.500 0.000
Sc2 0.000 0.500 0.500

---

Entry 11:
# Pr2DyTm5Sc, optimized geometry, DFT PBE
# Raw total energy ... -4.4862 eV/atom
# Density of states at the Fermi level ... 1.30 states/eV/atom
# Formation enthalpy at 0 K ... 0.275 eV per atom
data_Pr2DyTm5Sc
_chemical_formula_sum 'Pr4 Dy2 Tm10 Sc2'
_cell_length_a 8.476
_cell_length_b 8.476
_cell_length_c 9.832
_cell_angle_alpha 115.53
_cell_angle_beta 115.53
_cell_angle_gamma 90.00
_space_group_name_H-M_alt 'P 1'
_space_group_IT_number 1
loop_
_space_group_symop_operation_xyz
'x,y,z'
loop_
_atom_site_label
_atom_site_fract_x
_atom_site_fract_y
_atom_site_fract_z
Sc1 0.750 0.250 0.500
Sc2 0.250 0.750 0.500
Tm1 0.354 0.854 0.287
Tm2 0.854 0.933 0.287
Tm3 0.433 0.354 0.287
Tm4 0.067 0.567 0.713
Tm5 0.500 0.500 0.000
Tm6 0.146 0.067 0.713
Tm7 0.000 0.000 0.000
Tm8 0.646 0.146 0.713
Tm9 0.933 0.433 0.287
Tm10 0.567 0.646 0.713
Dy1 0.250 0.250 0.500
Dy2 0.750 0.750 0.500
Pr1 0.120 0.380 0.000
Pr2 0.880 0.620 0.000
Pr3 0.380 0.880 0.000
Pr4 0.620 0.120 0.000

---

Entry 12:
# Pr2DyTm2Sc2, optimized geometry, DFT PBE
# Raw total energy ... -4.9327 eV/atom
# Density of states at the Fermi level ... 1.79 states/eV/atom
# Formation enthalpy at 0 K ... 0.177 eV per atom
data_Pr2DyTm2Sc2
_chemical_formula_sum 'Pr2 Dy1 Tm2 Sc2'
_cell_length_a 3.436
_cell_length_b 5.838
_cell_length_c 11.615
_cell_angle_alpha 101.06
_cell_angle_beta 90.00
_cell_angle_gamma 107.12
_space_group_name_H-M_alt 'P 1'
_space_group_IT_number 1
loop_
_space_group_symop_operation_xyz
'x,y,z'
loop_
_atom_site_label
_atom_site_fract_x
_atom_site_fract_y
_atom_site_fract_z
Tm1 0.347 0.695 0.926
Tm2 0.653 0.305 0.074
Sc1 0.294 0.589 0.623
Sc2 0.706 0.411 0.377
Pr1 0.406 0.813 0.229
Pr2 0.594 0.187 0.771
Dy1 0.000 0.000 0.500